Density functional theory data (PBE) for a geometry-optimized Pr5Sc4Tl4 structure.

abc: 12.752 12.752 4.763
angles: 90.00 90.00 90.00
Space group I4/m (No. 87)
Asymmetric unit:
Pr: 0.000 0.000 0.000 [2 per cell]
Pr: 0.122 0.800 0.500 [8 per cell]
Sc: 0.078 0.405 0.500 [8 per cell]
Tl: 0.070 0.252 0.000 [8 per cell]

Properties
Its calculated total energy is -123.63 eV per cell.

---

Density functional theory data (PBE) for a geometry-optimized PrSc7Tl4 structure.

abc: 13.018 5.374 10.671
angles: 90.00 123.62 90.00
Space group C2/m (No. 12)
Asymmetric unit:
Pr: 0.000 0.000 0.000 [2 per cell]
Sc: 0.000 0.500 0.000 [2 per cell]
Sc: 0.054 0.000 0.382 [4 per cell]
Sc: 0.162 0.500 0.586 [4 per cell]
Sc: 0.218 0.000 0.881 [4 per cell]
Tl: 0.083 0.500 0.789 [4 per cell]
Tl: 0.198 0.500 0.325 [4 per cell]

Properties
Its calculated total energy is -116.72 eV per cell.

---

Density functional theory data (PBE) for a geometry-optimized PrSc3Tl structure.

abc: 7.4651 7.4651 5.9931
angles: 90.00 90.00 120.00
Space group P6_3/mmc (No. 194)
Asymmetric unit:
Pr: 0.3333 0.6667 0.2500 [2 per cell]
Sc: 0.1959 0.3919 0.7500 [6 per cell]
Tl: 0.0000 0.0000 0.0000 [2 per cell]

Properties
Its calculated total energy is -51.15 eV per cell.

---

| no. | M_tot (μB/atom) |
| --- | --- |
| 1 | 0.0004 |
| 2 | 0.0456 |
| 3 | 0.0000 |